i:
16
Lattice="-0.3257 5.6025 4.3120 -4.8315 3.0286 -4.3000 -9.1993 -5.5057 6.4586" Properties=species:S:1:pos:R:3 comment="NaCa PBE optimized geometry" total_magnetization_mub_per_fu=0.00 pbc="T T T"
Na -8.1563 0.3671 1.8994
Na -8.6209 4.3579 2.4869
Na -6.8196 -1.3041 6.5214
Na -5.2578 5.2671 3.9094
Na -2.2542 2.2213 -0.2408
Na -9.9022 0.2761 5.1670
Na -6.7334 2.0117 -2.6565
Na -9.6816 -0.6955 8.7958
Ca -11.1286 3.8322 5.0334
Ca -2.9556 2.3549 3.2878
Ca -6.8431 2.2401 5.0062
Ca -5.7637 2.8730 0.8769
Ca -3.6198 6.1143 0.7724
Ca -5.0821 -0.8974 3.4079
Ca -13.1681 -1.2062 3.7548
Ca -8.8650 -2.8092 3.7432

***

ii:
2
Lattice="-2.3240 -3.5688 -0.1818 3.3038 -2.0633 -1.7314 1.3616 -1.0849 3.8909" Properties=species:S:1:pos:R:3 comment="NaCa PBE optimized geometry" total_magnetization_mub_per_fu=0.00 pbc="T T T"
Ca 0.0000 0.0000 0.0000
Na 1.1707 -3.3585 0.9889

***

ii is the most stable structure; the next one sits 0.020 eV/atom above it.

***

i:
5
Lattice="3.8508 0.0000 0.4702 1.8967 3.3513 0.4702 -0.0083 -0.0048 16.0730" Properties=species:S:1:pos:R:3 comment="NaCa4 PBE optimized geometry" total_magnetization_mub_per_fu=0.00 pbc="T T T"
Ca 1.1479 0.6693 6.6035
Ca 3.4468 2.0098 3.7792
Ca 2.2924 1.3367 13.2341
Ca 4.5913 2.6772 10.4097
Na 0.0000 0.0000 0.0000

***

ii:
10
Lattice="-1.2183 3.0103 -6.8266 3.9106 -1.8968 -5.7201 -4.2811 -6.7775 -6.4103" Properties=species:S:1:pos:R:3 comment="NaCa4 PBE optimized geometry" total_magnetization_mub_per_fu=0.00 pbc="T T T"
Ca 0.3655 -1.6159 -4.9635
Ca 0.6408 -2.2502 -11.5713
Ca -1.9544 -4.0481 -13.9934
Ca -0.2427 -0.1125 -8.3777
Ca -2.2297 -3.4138 -7.3857
Ca -1.3462 -5.5515 -10.5792
Ca -2.8390 -1.9084 -10.7995
Ca 1.2501 -3.7556 -8.1574
Na -0.9143 2.2591 -5.1232
Na -0.3040 0.7511 -1.7034

***

iii:
5
Lattice="6.0891 0.0000 0.0000 0.0000 6.0891 0.0000 0.0000 0.0000 6.0891" Properties=species:S:1:pos:R:3 comment="NaCa4 PBE optimized geometry" total_magnetization_mub_per_fu=0.00 pbc="T T T"
Ca 0.0000 0.0000 0.0000
Ca 3.0446 3.0446 0.0000
Ca 0.0000 3.0446 3.0446
Ca 3.0446 0.0000 3.0446
Na 3.0446 3.0446 3.0446

***

i is the most stable structure; the next one sits 0.036 eV/atom above it.